Entry from Alexandria via LeMat-Bulk: crystalline MgScW2 at its relaxed geometry (PBE).

Properties
DFT formation energy   346 meV per atom
Mass density   9.77 g/cm3
Calculated volume   18.57 Å³/atom

```
data_MgScW2
_chemical_formula_sum 'Mg2 Sc2 W4'
_cell_length_a 3.505
_cell_length_b 4.829
_cell_length_c 8.777
_cell_angle_alpha 90.00
_cell_angle_beta 90.00
_cell_angle_gamma 90.00
_space_group_name_H-M_alt 'P 1'
_space_group_IT_number 1
loop_
_space_group_symop_operation_xyz
'x,y,z'
loop_
_atom_site_label
_atom_site_type_symbol
_atom_site_fract_x
_atom_site_fract_y
_atom_site_fract_z
Mg1 Mg 0.000 0.000 0.000
Mg2 Mg 0.500 0.500 0.500
Sc1 Sc 0.000 0.500 0.773
Sc2 Sc 0.500 0.000 0.273
W1 W 0.000 0.000 0.528
W2 W 0.000 0.500 0.233
W3 W 0.500 0.000 0.733
W4 W 0.500 0.500 0.028
```


Entry from Alexandria via LeMat-Bulk: crystalline MgScW2 at its relaxed geometry (PBE).

Properties
DFT formation energy   1107 meV per atom
Mass density   9.55 g/cm3
Calculated volume   18.99 Å³/atom

```
data_MgScW2
_chemical_formula_sum 'Mg4 Sc4 W8'
_cell_length_a 7.530
_cell_length_b 7.530
_cell_length_c 5.360
_cell_angle_alpha 90.00
_cell_angle_beta 90.00
_cell_angle_gamma 90.00
_space_group_name_H-M_alt 'P 1'
_space_group_IT_number 1
loop_
_space_group_symop_operation_xyz
'x,y,z'
loop_
_atom_site_label
_atom_site_type_symbol
_atom_site_fract_x
_atom_site_fract_y
_atom_site_fract_z
Mg1 Mg 0.000 0.000 0.000
Mg2 Mg 0.000 0.500 0.250
Mg3 Mg 0.500 0.000 0.750
Mg4 Mg 0.500 0.500 0.500
Sc1 Sc 0.000 0.000 0.500
Sc2 Sc 0.000 0.500 0.750
Sc3 Sc 0.500 0.000 0.250
Sc4 Sc 0.500 0.500 0.000
W1 W 0.237 0.250 0.125
W2 W 0.250 0.737 0.375
W3 W 0.250 0.763 0.875
W4 W 0.263 0.250 0.625
W5 W 0.737 0.750 0.625
W6 W 0.750 0.237 0.875
W7 W 0.750 0.263 0.375
W8 W 0.763 0.750 0.125
```


Entry from Alexandria via LeMat-Bulk: crystalline MgSc3W at its relaxed geometry (PBE).

Properties
Energy above the lowest structure with this stoichiometry   969 meV/atom
DFT formation energy   1528 meV per atom
Mass density   4.67 g/cm3
Calculated volume   24.37 Å³/atom

```
data_MgSc3W
_chemical_formula_sum 'Mg1 Sc3 W1'
_cell_length_a 4.958
_cell_length_b 4.958
_cell_length_c 4.958
_cell_angle_alpha 90.00
_cell_angle_beta 90.00
_cell_angle_gamma 90.00
_space_group_name_H-M_alt 'P 1'
_space_group_IT_number 1
loop_
_space_group_symop_operation_xyz
'x,y,z'
loop_
_atom_site_label
_atom_site_type_symbol
_atom_site_fract_x
_atom_site_fract_y
_atom_site_fract_z
Mg1 Mg 0.000 0.000 0.000
Sc1 Sc 0.000 0.000 0.500
Sc2 Sc 0.000 0.500 0.000
Sc3 Sc 0.500 0.000 0.000
W1 W 0.500 0.500 0.500
```


Entry from Alexandria via LeMat-Bulk: crystalline MgScW2 at its relaxed geometry (PBE).

Properties
DFT formation energy   432 meV per atom
Mass density   9.89 g/cm3
Calculated volume   18.35 Å³/atom

```
data_MgScW2
_chemical_formula_sum 'Mg3 Sc3 W6'
_cell_length_a 2.906
_cell_length_b 2.906
_cell_length_c 30.100
_cell_angle_alpha 90.00
_cell_angle_beta 90.00
_cell_angle_gamma 120.00
_space_group_name_H-M_alt 'P 1'
_space_group_IT_number 1
loop_
_space_group_symop_operation_xyz
'x,y,z'
loop_
_atom_site_label
_atom_site_type_symbol
_atom_site_fract_x
_atom_site_fract_y
_atom_site_fract_z
Mg1 Mg 0.000 0.000 0.000
Mg2 Mg 0.333 0.667 0.667
Mg3 Mg 0.667 0.333 0.333
Sc1 Sc 0.000 0.000 0.241
Sc2 Sc 0.333 0.667 0.908
Sc3 Sc 0.667 0.333 0.574
W1 W 0.000 0.000 0.493
W2 W 0.000 0.000 0.748
W3 W 0.333 0.667 0.160
W4 W 0.333 0.667 0.415
W5 W 0.667 0.333 0.082
W6 W 0.667 0.333 0.827
```


Entry from Alexandria via LeMat-Bulk: crystalline MgSc2W at its relaxed geometry (PBE).

Properties
DFT formation energy   252 meV per atom
Mass density   6.11 g/cm3
Calculated volume   20.24 Å³/atom

```
data_MgSc2W
_chemical_formula_sum 'Mg2 Sc4 W2'
_cell_length_a 10.161
_cell_length_b 2.953
_cell_length_c 5.432
_cell_angle_alpha 90.00
_cell_angle_beta 96.63
_cell_angle_gamma 90.00
_space_group_name_H-M_alt 'P 1'
_space_group_IT_number 1
loop_
_space_group_symop_operation_xyz
'x,y,z'
loop_
_atom_site_label
_atom_site_type_symbol
_atom_site_fract_x
_atom_site_fract_y
_atom_site_fract_z
Mg1 Mg 0.000 0.000 0.000
Mg2 Mg 0.500 0.500 0.000
Sc1 Sc 0.248 0.000 0.768
Sc2 Sc 0.476 0.000 0.463
Sc3 Sc 0.748 0.500 0.768
Sc4 Sc 0.976 0.500 0.463
W1 W 0.235 0.500 0.278
W2 W 0.735 0.000 0.278
```


Entry from Alexandria via LeMat-Bulk: crystalline MgSc2W at its relaxed geometry (PBE).

Properties
DFT formation energy   362 meV per atom
Mass density   6.00 g/cm3
Calculated volume   20.62 Å³/atom

```
data_MgSc2W
_chemical_formula_sum 'Mg2 Sc4 W2'
_cell_length_a 3.154
_cell_length_b 5.234
_cell_length_c 9.995
_cell_angle_alpha 90.00
_cell_angle_beta 90.00
_cell_angle_gamma 90.00
_space_group_name_H-M_alt 'P 1'
_space_group_IT_number 1
loop_
_space_group_symop_operation_xyz
'x,y,z'
loop_
_atom_site_label
_atom_site_type_symbol
_atom_site_fract_x
_atom_site_fract_y
_atom_site_fract_z
Mg1 Mg 0.000 0.000 0.000
Mg2 Mg 0.500 0.500 0.500
Sc1 Sc 0.000 0.500 0.227
Sc2 Sc 0.000 0.500 0.773
Sc3 Sc 0.500 0.000 0.273
Sc4 Sc 0.500 0.000 0.727
W1 W 0.000 0.000 0.500
W2 W 0.500 0.500 0.000
```


Entry from Alexandria via LeMat-Bulk: crystalline MgSc2W at its relaxed geometry (PBE).

Properties
DFT formation energy   247 meV per atom
Mass density   5.94 g/cm3
Calculated volume   20.82 Å³/atom

```
data_MgSc2W
_chemical_formula_sum 'Mg3 Sc6 W3'
_cell_length_a 3.082
_cell_length_b 3.082
_cell_length_c 30.371
_cell_angle_alpha 90.00
_cell_angle_beta 90.00
_cell_angle_gamma 120.00
_space_group_name_H-M_alt 'P 1'
_space_group_IT_number 1
loop_
_space_group_symop_operation_xyz
'x,y,z'
loop_
_atom_site_label
_atom_site_type_symbol
_atom_site_fract_x
_atom_site_fract_y
_atom_site_fract_z
Mg1 Mg 0.000 0.000 0.000
Mg2 Mg 0.333 0.667 0.667
Mg3 Mg 0.667 0.333 0.333
Sc1 Sc 0.000 0.000 0.243
Sc2 Sc 0.000 0.000 0.757
Sc3 Sc 0.333 0.667 0.424
Sc4 Sc 0.333 0.667 0.910
Sc5 Sc 0.667 0.333 0.090
Sc6 Sc 0.667 0.333 0.576
W1 W 0.000 0.000 0.500
W2 W 0.333 0.667 0.167
W3 W 0.667 0.333 0.833
```


Entry from Alexandria via LeMat-Bulk: crystalline MgSc2W at its relaxed geometry (PBE).

Properties
DFT formation energy   366 meV per atom
Mass density   6.01 g/cm3
Calculated volume   20.57 Å³/atom

```
data_MgSc2W
_chemical_formula_sum 'Mg1 Sc2 W1'
_cell_length_a 3.602
_cell_length_b 3.602
_cell_length_c 6.342
_cell_angle_alpha 90.00
_cell_angle_beta 90.00
_cell_angle_gamma 90.00
_space_group_name_H-M_alt 'P 1'
_space_group_IT_number 1
loop_
_space_group_symop_operation_xyz
'x,y,z'
loop_
_atom_site_label
_atom_site_type_symbol
_atom_site_fract_x
_atom_site_fract_y
_atom_site_fract_z
Mg1 Mg 0.000 0.000 0.000
Sc1 Sc 0.000 0.000 0.559
Sc2 Sc 0.500 0.500 0.280
W1 W 0.500 0.500 0.747
```